1.
The following is a PBE calculation of a relaxed structure of Hf2Zr8Os, from Alexandria.

Unit cell a=4.892 b=5.947 c=8.679 alpha=87.40 beta=106.37 gamma=90.00
Positions (direct):
1 Hf 0.776 0.648 0.551
2 Hf 0.224 0.352 0.449
3 Zr 0.413 0.420 0.826
4 Zr 0.657 0.094 0.314
5 Zr 0.841 0.174 0.681
6 Zr 0.962 0.744 0.925
7 Zr 0.159 0.826 0.319
8 Zr 0.343 0.906 0.686
9 Zr 0.587 0.580 0.174
10 Zr 0.038 0.256 0.075
11 Os 0.500 0.000 0.000

## Properties
formation enthalpy at 0 K = -0.080 eV/atom
calculated total energy = -9.13 eV/atom

---

2.
The following is a PBE calculation of a relaxed structure of Hf6Zr2Os, from Alexandria.

Unit cell a=3.092 b=8.397 c=8.654 alpha=119.02 beta=90.09 gamma=90.00
Positions (direct):
1 Hf 0.000 0.334 0.320
2 Hf 0.000 0.014 0.680
3 Hf 0.000 0.666 0.680
4 Hf 0.500 0.298 0.000
5 Hf 0.000 0.986 0.320
6 Hf 0.500 0.702 0.000
7 Zr 0.499 0.673 0.347
8 Zr 0.501 0.327 0.653
9 Os 0.000 0.000 0.000

## Properties
formation enthalpy at 0 K = 0.115 eV/atom
calculated total energy = -9.67 eV/atom

---

3.
The following is a PBE calculation of a relaxed structure of Hf4Zr2Os, from Alexandria.

Unit cell a=3.275 b=9.245 c=8.764 alpha=37.88 beta=68.08 gamma=79.80
Positions (direct):
1 Hf 0.808 0.134 0.625
2 Hf 0.192 0.866 0.375
3 Hf 0.561 0.399 0.739
4 Hf 0.439 0.601 0.261
5 Zr 0.322 0.730 0.814
6 Zr 0.678 0.270 0.186
7 Os 0.000 0.000 0.000

## Properties
formation enthalpy at 0 K = -0.184 eV/atom
calculated total energy = -9.92 eV/atom

---

4.
The following is a PBE calculation of a relaxed structure of HfZrOs4, from Alexandria.

Unit cell a=5.236 b=5.236 c=5.236 alpha=60.00 beta=60.00 gamma=60.00
Positions (direct):
1 Hf 0.000 0.000 0.000
2 Os 0.625 0.625 0.124
3 Os 0.625 0.124 0.625
4 Os 0.625 0.625 0.625
5 Os 0.124 0.625 0.625
6 Zr 0.250 0.250 0.250

## Properties
formation enthalpy at 0 K = -0.331 eV/atom
calculated total energy = -10.90 eV/atom

---

5.
The following is a PBE calculation of a relaxed structure of Hf2ZrOs3, from Alexandria.

Unit cell a=3.255 b=3.255 c=9.844 alpha=90.00 beta=90.00 gamma=90.00
Positions (direct):
1 Hf 0.500 0.500 0.834
2 Hf 0.500 0.500 0.166
3 Zr 0.500 0.500 0.500
4 Os 0.000 0.000 0.000
5 Os 0.000 0.000 0.670
6 Os 0.000 0.000 0.330

## Properties
formation enthalpy at 0 K = -0.643 eV/atom
calculated total energy = -11.00 eV/atom

---

6.
The following is a PBE calculation of a relaxed structure of HfZr2Os, from Alexandria.

Unit cell a=3.338 b=4.846 c=4.846 alpha=90.00 beta=90.00 gamma=90.00
Positions (direct):
1 Hf 0.500 0.000 0.000
2 Os 0.500 0.500 0.500
3 Zr 0.000 0.000 0.500
4 Zr 0.000 0.500 0.000

## Properties
formation enthalpy at 0 K = -0.114 eV/atom
distance to the lowest polymorph of the same formula = 172 meV/atom
calculated total energy = -9.68 eV/atom